# Ce2ThSi2Pd2

A geometry-optimized Ce2ThSi2Pd2 structure (PBE-GGA, Alexandria via LeMat-Bulk).

a = 4.3114 Å, b = 4.3114 Å, c = 27.4476 Å
α = 90.00°, β = 90.00°, γ = 120.00°
Last column: nearest neighbours and their distance in Å.
Space group R-3m (No. 166, hexagonal axes)
One atom of each set of equivalent atoms:
Ce 0.0000 0.0000 0.1395 x6  3 Ce 2.90, 3 Si 3.06, 3 Pd 3.11
Th 0.0000 0.0000 0.0000 x3  6 Pd 3.18, 6 Si 3.22
Si 0.0000 0.0000 0.2587 x6  3 Pd 2.49
Pd 0.0000 0.0000 0.4051 x6  3 Si 2.49

Properties
The calculation puts the uncorrected formation energy at -789 meV/atom. The value obtained for the calculated total energy is -6.5773 eV per atom. The crystal system is trigonal. The calculation puts the total magnetic moment at 1.00 μB per formula unit. As for the volume: 442 Å³/cell.


# PmPr3In

A geometry-optimized PmPr3In structure (PBE-GGA, Alexandria via LeMat-Bulk).

a = 4.9605 Å, b = 26.2034 Å, c = 4.9587 Å
α = 90.00°, β = 90.00°, γ = 90.00°
Last column: nearest neighbours and their distance in Å.
Space group Cmcm (No. 63)
One atom of each set of equivalent atoms:
Pm 0.0000 0.1523 0.2500 x4  4 In 3.51, 8 Pr 3.55-3.58
Pr 0.0000 0.0554 0.7500 x4  8 Pr 3.51-3.82, 2 Pm 3.55, 2 In 3.57
Pr 0.0000 0.2496 0.7500 x4  4 Pr 3.51, 4 In 3.54-3.55, 4 Pm 3.56-3.57
Pr 0.0000 0.4464 0.7500 x4  8 Pr 3.51-3.78, 2 Pm 3.58, 2 In 3.60
In 0.0000 0.3466 0.2500 x4  4 Pm 3.51, 8 Pr 3.54-3.60

Properties
The value obtained for the calculated total energy is -4.5591 eV per atom. The crystal system is orthorhombic. The calculation puts the total magnetic moment at 0.00 μB per formula unit. As for the volume: 645 Å³/cell. The distance to the lowest polymorph of the same formula is 0.000 eV per formula unit.